VASP calculation (PBE-GGA) on a geometry-optimized Hg5Bi2Pb4 structure.

Calculated values
Energy relative to the elements (eV/atom): 0.05
Magnetic moment (μB/f.u.): 0.00
Crystal system: monoclinic

Cell and atoms, written as CIF:
```
data_Hg5Bi2Pb4
_cell_length_a 8.6977
_cell_length_b 3.3184
_cell_length_c 11.2237
_cell_angle_alpha 90.00
_cell_angle_beta 91.20
_cell_angle_gamma 90.00
_symmetry_space_group_name_H-M 'P 1 2/m 1'
_symmetry_Int_Tables_number 10
loop_
_symmetry_equiv_pos_as_xyz
'x,y,z'
'-x,-y,-z'
'-x,y,-z'
'x,-y,z'
loop_
_atom_site_label
_atom_site_type_symbol
_atom_site_fract_x
_atom_site_fract_y
_atom_site_fract_z
Hg1 Hg 0.0000 0.0000 0.0000
Hg2 Hg 0.1903 0.0000 0.4721
Hg3 Hg 0.2636 0.0000 0.1905
Bi1 Bi 0.3489 0.0000 0.9009
Pb1 Pb 0.0640 0.5000 0.7269
Pb2 Pb 0.4649 0.5000 0.6551
```

=====

VASP calculation (PBE-GGA) on a geometry-optimized HgBi2Pb2 structure.

Calculated values
Energy relative to the elements (eV/atom): 0.03
Energy above the lowest structure with this stoichiometry (meV per atom): 0
Magnetic moment (μB/f.u.): 0.00
Crystal system: triclinic

Cell and atoms, written as CIF:
```
data_HgBi2Pb2
_cell_length_a 5.1539
_cell_length_b 5.7073
_cell_length_c 6.3726
_cell_angle_alpha 73.34
_cell_angle_beta 67.91
_cell_angle_gamma 64.02
_symmetry_space_group_name_H-M 'P -1'
_symmetry_Int_Tables_number 2
loop_
_symmetry_equiv_pos_as_xyz
'x,y,z'
'-x,-y,-z'
loop_
_atom_site_label
_atom_site_type_symbol
_atom_site_fract_x
_atom_site_fract_y
_atom_site_fract_z
Hg1 Hg 0.0000 0.0000 0.0000
Bi1 Bi 0.2020 0.1992 0.3924
Pb1 Pb 0.3952 0.3874 0.8183
```